Entry from Alexandria via LeMat-Bulk: crystalline Bi3O2F5 at its relaxed geometry (PBE).

Unit cell a=5.736 b=18.013 c=5.904 alpha=90.00 beta=90.00 gamma=90.00
Space group Pnma (No. 62)
One atom of each set of equivalent atoms:
Bi1 0.183 0.099 0.039 x8
Bi2 0.246 0.750 0.962 x4
O1 0.031 0.671 0.726 x8
F1 0.100 0.521 0.789 x8
F2 0.150 0.250 0.904 x4
F3 0.157 0.629 0.166 x8

Results
Calculated density   8.21 g/cm³
Crystal system   orthorhombic
Distance to the lowest polymorph of the same formula   0 meV per atom
Formation energy (no corrections)   -2.1003 eV per atom
Raw total energy   -207.675 eV per cell